# 1
DFT (GGA-PBE) results for a geometry-optimized Sn4Te3Se2 structure.

The volume comes out at 317.1 Å³/f.u. As for the energy relative to the elements, uncorrected: -0.209 eV per atom. Its total magnetic moment is 0.00 μB per atom.

It has space group C2/c (No. 15), with a = 14.7118 Å, b = 13.6416 Å, c = 6.4495 Å, α = 90.00°, β = 101.53° and γ = 90.00°. The inequivalent atoms are Sn at (0.1165, 0.1085, 0.1085), Sn at (0.1825, 0.4087, 0.2389), Te at (0.0000, 0.3392, 0.2500), Te at (0.1115, 0.1115, 0.5883) and Se at (0.1828, 0.3979, 0.8148).



# 2
DFT (GGA-PBE) results for a geometry-optimized InAgCl6 structure.

The volume comes out at 246.4 Å³/f.u. As for the energy relative to the elements, uncorrected: -0.585 eV per atom. Its total magnetic moment is 0.00 μB per atom.

It has space group P-1 (No. 2), with a = 5.6910 Å, b = 6.8493 Å, c = 7.3592 Å, α = 65.49°, β = 71.11° and γ = 85.72°. The inequivalent atoms are In at (0.0000, 0.0000, 0.0000), Ag at (0.5000, 0.5000, 0.0000), Cl at (0.0415, 0.8090, 0.3391), Cl at (0.2748, 0.3733, 0.8447) and Cl at (0.4077, 0.8504, 0.8019).



# 3
DFT (GGA-PBE) results for a geometry-optimized Er2MnAl3 structure.

The volume comes out at 116.2 Å³/f.u. The formation enthalpy at 0 K is -2.52 eV per formula unit. Its total magnetic moment is 0.48 μB per atom.

It has space group R-3m (No. 166, hexagonal axes), with a = 5.5351 Å, b = 5.5351 Å, c = 13.1377 Å, α = 90.00°, β = 90.00° and γ = 120.00°. The inequivalent atoms are Er at (0.0000, 0.0000, 0.1263), Mn at (0.0000, 0.0000, 0.5000) and Al at (0.0000, 0.5000, 0.0000).



# 4
DFT (GGA-PBE) results for a geometry-optimized Ca2ZnIn structure.

The volume comes out at 110.1 Å³/f.u. The formation enthalpy at 0 K is -0.72 eV per formula unit. Its total magnetic moment is 0.00 μB per atom.

It has space group I-4m2 (No. 119), with a = 4.6868 Å, b = 4.6868 Å, c = 10.0252 Å, α = 90.00°, β = 90.00° and γ = 90.00°. The inequivalent atoms are Ca at (0.0000, 0.0000, 0.0000), Ca at (0.0000, 0.5000, 0.2500), Zn at (0.0000, 0.0000, 0.5000) and In at (0.0000, 0.5000, 0.7500).



# 5
DFT (GGA-PBE) results for a geometry-optimized TiVZnGa structure.

The volume comes out at 60.2 Å³/f.u. The formation enthalpy at 0 K is -0.47 eV per formula unit. Its total magnetic moment is 0.46 μB per atom.

It has space group F-43m (No. 216), with a = 6.2201 Å, b = 6.2201 Å, c = 6.2201 Å, α = 90.00°, β = 90.00° and γ = 90.00°. The inequivalent atoms are Ti at (0.0000, 0.0000, 0.0000), V at (0.0000, 0.0000, 0.5000), Zn at (0.2500, 0.2500, 0.2500) and Ga at (0.2500, 0.2500, 0.7500).



# 6
DFT (GGA-PBE) results for a geometry-optimized Tb4Si6Ir7 structure.

The volume comes out at 286.9 Å³/f.u. As for the energy relative to the elements, uncorrected: -1.002 eV per atom. Its total magnetic moment is 0.00 μB per atom.

It has space group Im-3m (No. 229), with a = 8.3096 Å, b = 8.3096 Å, c = 8.3096 Å, α = 90.00°, β = 90.00° and γ = 90.00°. The inequivalent atoms are Tb at (0.2500, 0.2500, 0.2500), Si at (0.0000, 0.0000, 0.3269), Ir at (0.0000, 0.0000, 0.0000) and Ir at (0.0000, 0.2500, 0.5000).



# 7
DFT (GGA-PBE) results for a geometry-optimized ZrCrIr2 structure.

The energy above the most stable polymorph in this dataset is 235 kJ/mol of formula units. The volume comes out at 62.7 Å³/f.u. The formation enthalpy at 0 K is 0.49 eV per formula unit. Its total magnetic moment is 0.00 μB per atom.

It has space group R3m (No. 160, hexagonal axes), with a = 2.8127 Å, b = 2.8127 Å, c = 27.4389 Å, α = 90.00°, β = 90.00° and γ = 120.00°. The inequivalent atoms are Zr at (0.0000, 0.0000, 0.0000), Cr at (0.0000, 0.0000, 0.2431), Ir at (0.0000, 0.0000, 0.5061) and Ir at (0.0000, 0.0000, 0.7533).



# 8
DFT (GGA-PBE) results for a geometry-optimized Tc2HgI2 structure.

The energy above the most stable polymorph in this dataset is 297 kJ/mol of formula units. The volume comes out at 113.9 Å³/f.u. As for the energy relative to the elements, uncorrected: 1.142 eV per atom. Its total magnetic moment is 0.11 μB per atom.

It has space group P4/mbm (No. 127), with a = 8.4728 Å, b = 8.4728 Å, c = 3.1730 Å, α = 90.00°, β = 90.00° and γ = 90.00°. The inequivalent atoms are Tc at (0.1208, 0.3792, 0.0000), Hg at (0.0000, 0.0000, 0.5000) and I at (0.1441, 0.6441, 0.5000).



# 9
DFT (GGA-PBE) results for a geometry-optimized ZrSn3Mo structure.

The energy above the most stable polymorph in this dataset is 0 kJ/mol of formula units. The volume comes out at 140.1 Å³/f.u. The formation enthalpy at 0 K is 3.66 eV per formula unit. Its total magnetic moment is 0.37 μB per atom.

It has space group Pm-3m (No. 221), with a = 5.1932 Å, b = 5.1932 Å, c = 5.1932 Å, α = 90.00°, β = 90.00° and γ = 90.00°. The inequivalent atoms are Zr at (0.0000, 0.0000, 0.0000), Sn at (0.0000, 0.5000, 0.5000) and Mo at (0.5000, 0.5000, 0.5000).



# 10
DFT (GGA-PBE) results for a geometry-optimized KLiH6Au3 structure.

The calculated total energy comes out at -99.25 eV/cell. The volume comes out at 142.8 Å³/f.u. Its total magnetic moment is 0.00 μB per atom.

It has space group R3 (No. 146, hexagonal axes), with a = 7.1526 Å, b = 7.1526 Å, c = 9.6701 Å, α = 90.00°, β = 90.00° and γ = 120.00°. The inequivalent atoms are K at (0.0000, 0.0000, 0.0000), Li at (0.0000, 0.0000, 0.3620), H at (0.0242, 0.4836, 0.1103), H at (0.1631, 0.4186, 0.9067) and Au at (0.1336, 0.4184, 0.2682).



# 11
DFT (GGA-PBE) results for a geometry-optimized BH3Os structure.

The calculated total energy comes out at -21.93 eV/cell. The volume comes out at 38.7 Å³/f.u. Its total magnetic moment is 0.00 μB per atom.

It has space group Pm-3m (No. 221), with a = 3.3831 Å, b = 3.3831 Å, c = 3.3831 Å, α = 90.00°, β = 90.00° and γ = 90.00°. The inequivalent atoms are B at (0.0000, 0.0000, 0.0000), H at (0.0000, 0.5000, 0.5000) and Os at (0.5000, 0.5000, 0.5000).



# 12
DFT (GGA-PBE) results for a geometry-optimized Sr3MgAg2O6 structure.

The volume comes out at 192.8 Å³/f.u. As for the energy relative to the elements, uncorrected: -1.538 eV per atom. Its total magnetic moment is 0.17 μB per atom.

It has space group P-3m1 (No. 164), with a = 5.8800 Å, b = 5.8800 Å, c = 6.4399 Å, α = 90.00°, β = 90.00° and γ = 120.00°. The inequivalent atoms are Sr at (0.0000, 0.0000, 0.0000), Sr at (0.3333, 0.6667, 0.6020), Mg at (0.0000, 0.0000, 0.5000), Ag at (0.3333, 0.6667, 0.1095) and O at (0.1614, 0.3228, 0.3039).



# 13
DFT (GGA-PBE) results for a geometry-optimized Mg2TaZn structure.

The volume comes out at 77.7 Å³/f.u. The formation enthalpy at 0 K is 2.53 eV per formula unit. Its total magnetic moment is 0.23 μB per atom.

It has space group I-42d (No. 122), with a = 7.4975 Å, b = 7.4975 Å, c = 5.5291 Å, α = 90.00°, β = 90.00° and γ = 90.00°. The inequivalent atoms are Mg at (0.2155, 0.2500, 0.1250), Ta at (0.0000, 0.0000, 0.5000) and Zn at (0.0000, 0.0000, 0.0000).



# 14
DFT (GGA-PBE) results for a geometry-optimized BaPmTm4S8 structure.

The volume comes out at 390.0 Å³/f.u. As for the energy relative to the elements, uncorrected: -1.947 eV per atom. Its total magnetic moment is 0.00 μB per atom.

It has space group R3m (No. 160, hexagonal axes), with a = 8.1472 Å, b = 8.1472 Å, c = 20.3522 Å, α = 90.00°, β = 90.00° and γ = 120.00°. The inequivalent atoms are Ba at (0.0000, 0.0000, 0.0000), Pm at (0.0000, 0.0000, 0.6295), Tm at (0.0000, 0.0000, 0.2527), Tm at (0.1690, 0.3379, 0.4603), S at (0.0000, 0.0000, 0.3847), S at (0.0000, 0.0000, 0.8581), S at (0.0432, 0.5216, 0.3875) and S at (0.1729, 0.3458, 0.2056).



# 15
DFT (GGA-PBE) results for a geometry-optimized Ce7Ga2Bi2 structure.

The volume comes out at 346.1 Å³/f.u. The formation enthalpy at 0 K is -2.00 eV per formula unit. Its total magnetic moment is 0.66 μB per atom.

It has space group Cmmm (No. 65), with a = 8.8807 Å, b = 11.7451 Å, c = 6.6359 Å, α = 90.00°, β = 90.00° and γ = 90.00°. The inequivalent atoms are Ce at (0.0000, 0.0000, 0.0000), Ce at (0.0000, 0.5000, 0.2075), Ce at (0.2500, 0.2500, 0.2951), Ga at (0.0000, 0.2643, 0.0000) and Bi at (0.1916, 0.0000, 0.5000).